Record 1
PBE DyNb3O6, relaxed; density = 7.401 g/cm³; electronic total energy = -88.82 eV/f.u.; M_tot = 0.00 μB/atom
1.0
-2.6813 1.2058 0.9155
-2.2128 -8.0327 4.0990
4.2995 5.0877 5.8908
Dy Nb O
2 6 12
Direct
0.7500 0.6338 0.8901
0.2500 0.3662 0.1099
0.7500 0.3614 0.4819
0.2500 0.6386 0.5181
0.7500 0.7290 0.2906
0.2500 0.2710 0.7094
0.7500 0.9687 0.8616
0.2500 0.0313 0.1384
0.7500 0.1735 0.5687
0.2500 0.8265 0.4313
0.7500 0.1765 0.0705
0.2500 0.8235 0.9295
0.7500 0.7510 0.6803
0.2500 0.2490 0.3197
0.7500 0.4990 0.3110
0.2500 0.5010 0.6890
0.7500 0.3750 0.8972
0.2500 0.6250 0.1028
0.7500 0.9262 0.2260
0.2500 0.0738 0.7740


Record 2
PBE Dy2NbO, relaxed; density = 8.900 g/cm³; electronic total energy = -27.63 eV/f.u.; M_tot = 0.21 μB/atom
1.0
3.2636 0.0000 0.0000
1.6318 2.8263 0.0000
1.6318 0.9421 8.7772
Nb O Dy
1 1 2
Direct
0.0000 0.0000 0.0000
0.5000 0.5000 0.5000
0.1117 0.1117 0.6650
0.8883 0.8883 0.3350


Record 3
PBE Dy5Nb2O12, relaxed; density = 7.578 g/cm³; electronic total energy = -164.74 eV/f.u.; M_tot = 0.00 μB/atom
1.0
5.9057 0.0000 0.0000
-2.9529 6.2122 -0.0263
0.0000 -2.2169 7.1185
Dy Nb O
5 2 12
Direct
0.3015 0.6030 0.6368
0.3093 0.6187 0.1765
0.0000 0.0000 0.5000
0.6907 0.3813 0.8235
0.6985 0.3970 0.3632
0.7590 0.0000 0.0000
0.2410 0.0000 0.0000
0.9989 0.9978 0.1954
0.1001 0.6672 0.9142
0.5671 0.6672 0.9142
0.0962 0.6913 0.4262
0.5950 0.6913 0.4262
0.5012 0.0024 0.8035
0.4988 0.9976 0.1965
0.9038 0.3087 0.5738
0.4049 0.3087 0.5738
0.8999 0.3328 0.0858
0.4329 0.3328 0.0858
0.0011 0.0022 0.8046